TlIn2BiRu (GGA-PBE, optimized geometry); Fermi-level density of states = 4.80 states/eV/cell; energy of formation from the pure elements = 0.146 eV/atom; crystal system = tetragonal; total DFT energy (no corrections) = -4.05 eV/atom; space group = P4/mmm
1.0
5.228 0.000 0.000
0.000 5.228 0.000
0.000 0.000 5.289
In Ru Tl Bi
2 1 1 1
direct
0.500 0.000 0.000
0.000 0.500 0.000
0.000 0.000 0.000
0.500 0.500 0.500
0.000 0.000 0.500